DFT (PBE with a Hubbard U) results for a relaxed structure of CdPtWO6.

a b c (Å): 4.834 4.834 9.591
angles (deg): 90.00 90.00 90.00
Sites, in units of the cell vectors:
Cd1 0.500 0.500 0.501
Cd2 0.000 0.000 0.001
Pt1 0.500 0.500 0.832
Pt2 0.000 0.000 0.332
W1 0.500 0.500 0.172
W2 0.000 0.000 0.672
O1 0.174 0.826 0.506
O2 0.826 0.174 0.506
O3 0.326 0.326 0.006
O4 0.674 0.674 0.006
O5 0.211 0.789 0.180
O6 0.789 0.211 0.180
O7 0.289 0.289 0.680
O8 0.711 0.711 0.680
O9 0.793 0.207 0.811
O10 0.207 0.793 0.811
O11 0.707 0.707 0.311
O12 0.293 0.293 0.311

Summary:
Theoretical density in kg/m3: 8704
E_tot in eV per cell: -109.5